(1)
NaSrBr2N | PBE-GGA | relaxed

The structure in extended XYZ format:
```
5
Lattice="5.1113 0.0000 0.0000 0.0000 5.1113 0.0000 0.0000 0.0000 6.4443" Properties=species:S:1:pos:R:3 pbc="T T T"
Na 0.0000 0.0000 0.0000
Sr 0.0000 0.0000 3.2222
Br 0.0000 2.5556 0.0000
Br 2.5556 0.0000 0.0000
N 2.5556 2.5556 3.2222
```

Computed properties:
- symmetry = P4/mmm (123)
- calculated volume (Å³/atom) = 33.67
- formation energy without anion corrections (eV per formula unit) = 0.910

---

(2)
NaTe2BrN | PBE-GGA | relaxed

The structure in extended XYZ format:
```
5
Lattice="6.3554 0.0000 0.0000 0.0000 6.3554 0.0000 0.0000 0.0000 3.6106" Properties=species:S:1:pos:R:3 pbc="T T T"
Na 0.0000 0.0000 0.0000
Te 0.0000 3.1777 1.8053
Te 3.1777 0.0000 1.8053
Br 3.1777 3.1777 1.8053
N 3.1777 3.1777 0.0000
```

Computed properties:
- symmetry = P4/mmm (123)
- calculated volume (Å³/atom) = 29.17
- formation energy without anion corrections (eV per formula unit) = 4.580

---

Q: Number 2 is which compound?
A: NaTe2BrN

---

Q: calculated volume of number 2 (NaTe2BrN)?
A: 29.17 Å³/atom

---

Q: What is the formula in the second record?
A: NaTe2BrN

---

Q: What is the formula in the second record?
A: NaTe2BrN